one.
LiTlGa2 PBE relaxed; crystal system = tetragonal
1.0
3.6807 0.0000 0.0000
0.0000 3.6807 0.0000
0.0000 0.0000 6.2028
Li Tl Ga
1 1 2
direct
0.0000 0.0000 0.0000 Li
0.0000 0.0000 0.5000 Tl
0.5000 0.5000 0.2175 Ga
0.5000 0.5000 0.7825 Ga

two.
LiTlGa2 PBE relaxed; crystal system = tetragonal
1.0
4.1466 0.0000 0.0000
0.0000 4.1466 0.0000
0.0000 0.0000 4.7147
Li Tl Ga
1 1 2
direct
0.0000 0.0000 0.0000 Li
0.5000 0.5000 0.0000 Tl
0.0000 0.5000 0.5000 Ga
0.5000 0.0000 0.5000 Ga

two wins, 4.2 kJ/mol of atoms ahead of the next structure.

one.
LiTlGa2 PBE relaxed; crystal system = cubic
1.0
0.0000 3.5022 3.5022
3.5022 0.0000 3.5022
3.5022 3.5022 0.0000
Li Tl Ga
1 1 2
direct
0.0000 0.0000 0.0000 Li
0.5000 0.5000 0.5000 Tl
0.2500 0.2500 0.2500 Ga
0.7500 0.7500 0.7500 Ga

two.
LiTlGa2 PBE relaxed; crystal system = tetragonal
1.0
-2.0331 2.0331 10.1875
2.0331 -2.0331 10.1875
2.0331 2.0331 -10.1875
Li Tl Ga
2 2 4
direct
0.0000 0.0000 0.0000 Li
0.7500 0.2500 0.5000 Li
0.2500 0.7500 0.5000 Tl
0.5000 0.5000 0.0000 Tl
0.0951 0.6250 0.9701 Ga
0.3750 0.3451 0.4701 Ga
0.6549 0.1250 0.0299 Ga
0.8750 0.9049 0.5299 Ga

one wins, 0.7 kJ/mol of atoms ahead of the next structure.

one.
Li2TmGa PBE relaxed; crystal system = cubic
1.0
0.0000 3.3769 3.3769
3.3769 0.0000 3.3769
3.3769 3.3769 0.0000
Li Tm Ga
2 1 1
direct
0.0000 0.0000 0.0000 Li
0.2500 0.2500 0.2500 Li
0.5000 0.5000 0.5000 Tm
0.7500 0.7500 0.7500 Ga

two.
Li2TmGa PBE relaxed; crystal system = cubic
1.0
0.0000 3.2712 3.2712
3.2712 0.0000 3.2712
3.2712 3.2712 0.0000
Li Tm Ga
2 1 1
direct
0.2500 0.2500 0.2500 Li
0.7500 0.7500 0.7500 Li
0.0000 0.0000 0.0000 Tm
0.5000 0.5000 0.5000 Ga

one wins, 1.7 kJ/mol of atoms ahead of the next structure.

one.
LiTm3Ga2 PBE relaxed; crystal system = trigonal
1.0
5.0006 0.0000 0.0000
-2.5003 4.3307 0.0000
0.0000 0.0000 12.3111
Li Tm Ga
2 6 4
direct
0.3333 0.6667 0.1731 Li
0.6667 0.3333 0.8269 Li
0.0000 0.0000 0.2557 Tm
0.0000 0.0000 0.7443 Tm
0.3333 0.6667 0.4209 Tm
0.3333 0.6667 0.9183 Tm
0.6667 0.3333 0.0817 Tm
0.6667 0.3333 0.5791 Tm
0.0000 0.0000 0.0000 Ga
0.0000 0.0000 0.5000 Ga
0.3333 0.6667 0.6798 Ga
0.6667 0.3333 0.3202 Ga

two.
LiTm3Ga2 PBE relaxed; crystal system = monoclinic
1.0
6.2534 -3.0501 0.0000
6.2534 3.0501 0.0000
-2.4833 0.0000 7.5130
Li Tm Ga
2 6 4
direct
0.2326 0.7674 0.7500 Li
0.7674 0.2326 0.2500 Li
0.2686 0.7314 0.2500 Tm
0.2857 0.3009 0.8955 Tm
0.3009 0.2857 0.3955 Tm
0.6991 0.7143 0.6045 Tm
0.7143 0.6991 0.1045 Tm
0.7314 0.2686 0.7500 Tm
0.1135 0.1183 0.5571 Ga
0.1183 0.1135 0.0571 Ga
0.8817 0.8865 0.9429 Ga
0.8865 0.8817 0.4429 Ga

one wins, 11.8 kJ/mol of atoms ahead of the next structure.

one.
Li2TmGa2 PBE relaxed; crystal system = orthorhombic
1.0
-1.7221 2.2298 12.5619
1.7221 -2.2298 12.5619
1.7221 2.2298 -12.5619
Li Tm Ga
4 2 4
direct
0.0445 0.2945 0.7500 Li
0.4420 0.1920 0.2500 Li
0.5580 0.8080 0.7500 Li
0.9555 0.7055 0.2500 Li
0.3268 0.5768 0.7500 Tm
0.6732 0.4232 0.2500 Tm
0.1220 0.8720 0.2500 Ga
0.2237 0.9737 0.2500 Ga
0.7763 0.0263 0.7500 Ga
0.8780 0.1280 0.7500 Ga

two.
Li2TmGa2 PBE relaxed; crystal system = monoclinic
1.0
4.5413 0.0000 0.0000
0.0000 3.3088 0.0000
-0.0150 0.0000 12.5129
Li Tm Ga
4 2 4
direct
0.2483 0.2500 0.1357 Li
0.2502 0.7500 0.5207 Li
0.7498 0.2500 0.4793 Li
0.7517 0.7500 0.8643 Li
0.2514 0.2500 0.7490 Tm
0.7486 0.7500 0.2510 Tm
0.2489 0.2500 0.3453 Ga
0.2515 0.7500 0.9624 Ga
0.7485 0.2500 0.0376 Ga
0.7511 0.7500 0.6547 Ga

one wins, 5.6 kJ/mol of atoms ahead of the next structure.

one.
LiV3Ga PBE relaxed; crystal system = cubic
1.0
4.1166 0.0000 0.0000
0.0000 4.1166 0.0000
0.0000 0.0000 4.1166
Li V Ga
1 3 1
direct
0.0000 0.0000 0.0000 Li
0.0000 0.0000 0.5000 V
0.0000 0.5000 0.0000 V
0.5000 0.0000 0.0000 V
0.5000 0.5000 0.5000 Ga

two.
LiV3Ga PBE relaxed; crystal system = cubic
1.0
4.5816 0.0000 0.0000
0.0000 4.5816 0.0000
0.0000 0.0000 4.5816
Li V Ga
1 3 1
direct
0.0000 0.0000 0.0000 Li
0.0000 0.5000 0.5000 V
0.5000 0.0000 0.5000 V
0.5000 0.5000 0.0000 V
0.5000 0.5000 0.5000 Ga

one wins, 28.8 kJ/mol of atoms ahead of the next structure.